# CsTiCuSe3

A crystal of CsTiCuSe3 relaxed with PBEsol (SCAN, Alexandria via LeMat-Bulk).

Geometry as CIF:
```
data_CsTiCuSe3
_chemical_formula_sum 'Cs4 Ti4 Cu4 Se12'
_cell_length_a 3.7138
_cell_length_b 15.9244
_cell_length_c 9.8170
_cell_angle_alpha 90.00
_cell_angle_beta 90.00
_cell_angle_gamma 90.00
_symmetry_space_group_name_H-M 'C m c m'
_symmetry_Int_Tables_number 63
_symmetry_space_group_name_Hall '-C 2c 2'
loop_
_atom_site_label
_atom_site_fract_x
_atom_site_fract_y
_atom_site_fract_z
Cs1 0.0000 0.2494 0.2500
Ti1 0.0000 0.5000 0.0000
Cu1 0.0000 0.0338 0.7500
Se1 0.0000 0.1098 0.5448
Se2 0.0000 0.4403 0.7500
```

Values from the calculation:
* energy relative to the elements, uncorrected: -1.102 eV/atom


# ZrSb2Au

A crystal of ZrSb2Au relaxed with PBEsol (SCAN, Alexandria via LeMat-Bulk).

Geometry as CIF:
```
data_ZrSb2Au
_chemical_formula_sum 'Zr2 Sb4 Au2'
_cell_length_a 3.9310
_cell_length_b 4.8117
_cell_length_c 9.0454
_cell_angle_alpha 90.00
_cell_angle_beta 90.00
_cell_angle_gamma 90.00
_symmetry_space_group_name_H-M 'I m m m'
_symmetry_Int_Tables_number 71
_symmetry_space_group_name_Hall '-I 2 2'
loop_
_atom_site_label
_atom_site_fract_x
_atom_site_fract_y
_atom_site_fract_z
Zr1 0.0000 0.0000 0.0000
Sb1 0.0000 0.5000 0.2407
Au1 0.0000 0.0000 0.5000
```

Values from the calculation:
* energy relative to the elements, uncorrected: -0.306 eV/atom